Cu5PdPt2 after structural relaxation. Source: Alexandria via LeMat-Bulk, functional GGA-PBE.

Cell lengths 5.1881, 5.1880, 5.1880 Å; angles 108.68, 108.68, 111.06 degrees
Atoms (fractional coordinates):
Cu: 0.2780 0.2785 0.5010
Cu: 0.2781 0.7767 0.0000
Cu: 0.7780 0.2784 0.0000
Cu: 0.7772 0.7777 0.4991
Cu: 0.2775 0.2766 0.0001
Pd: 0.7789 0.7787 0.0000
Pt: 0.2779 0.7783 0.5003
Pt: 0.7775 0.2780 0.4996

Results
total magnetization = 0.00 μB/cell
mass density = 12.6 Mg/m³
E above lowest polymorph = 0 meV per atom
total DFT energy (no corrections) = -4.8377 eV/atom
calculated formation energy = -118 meV per atom

=====

Cu8Pd2Pt3 after structural relaxation. Source: Alexandria via LeMat-Bulk, functional GGA-PBE.

Cell lengths 4.7224, 4.7224, 9.8640 Å; angles 76.15, 76.15, 60.00 degrees
Atoms (fractional coordinates):
Cu: 0.7266 0.7266 0.8203
Cu: 0.2734 0.2734 0.1797
Cu: 0.2290 0.7299 0.3112
Cu: 0.7299 0.2290 0.3112
Cu: 0.7299 0.7299 0.3112
Cu: 0.2701 0.7710 0.6888
Cu: 0.7710 0.2701 0.6888
Cu: 0.2701 0.2701 0.6888
Pd: 0.6402 0.6402 0.0793
Pd: 0.3598 0.3598 0.9207
Pt: 0.0000 0.0000 0.0000
Pt: 0.8162 0.8162 0.5515
Pt: 0.1838 0.1838 0.4485

Results
total magnetization = 0.00 μB/cell
mass density = 11.8 Mg/m³
total DFT energy (no corrections) = -4.6605 eV/atom
calculated formation energy = 53 meV per atom

=====

Cu3Pd2Pt4 after structural relaxation. Source: Alexandria via LeMat-Bulk, functional GGA-PBE.

Cell lengths 2.7230, 6.5201, 7.6910 Å; angles 97.16, 100.20, 90.00 degrees
Atoms (fractional coordinates):
Cu: 0.1059 0.3690 0.2117
Cu: 0.8941 0.6310 0.7883
Cu: 0.0000 0.0000 0.0000
Pd: 0.6639 0.0448 0.3277
Pd: 0.3361 0.9552 0.6723
Pt: 0.5462 0.6914 0.0925
Pt: 0.2795 0.3416 0.5591
Pt: 0.4538 0.3086 0.9075
Pt: 0.7205 0.6584 0.4409

Results
total magnetization = 0.00 μB/cell
mass density = 14.7 Mg/m³
E above lowest polymorph = 26 meV per atom
total DFT energy (no corrections) = -5.2395 eV/atom
calculated formation energy = -35 meV per atom

=====

CuPdPt6 after structural relaxation. Source: Alexandria via LeMat-Bulk, functional GGA-PBE.

Cell lengths 3.9276, 3.9276, 7.8985 Å; angles 90.00, 90.00, 90.00 degrees
Atoms (fractional coordinates):
Cu: 0.0000 0.0000 0.5000
Pd: 0.0000 0.0000 0.0000
Pt: 0.5000 0.5000 0.0000
Pt: 0.5000 0.5000 0.5000
Pt: 0.5000 0.0000 0.2569
Pt: 0.5000 0.0000 0.7431
Pt: 0.0000 0.5000 0.2569
Pt: 0.0000 0.5000 0.7431

Results
total magnetization = 0.00 μB/cell
mass density = 18.3 Mg/m³
total DFT energy (no corrections) = -5.7742 eV/atom
calculated formation energy = -82 meV per atom

=====

CuPd7Pt4 after structural relaxation. Source: Alexandria via LeMat-Bulk, functional GGA-PBE.

Cell lengths 4.7592, 8.8399, 5.4587 Å; angles 83.62, 64.16, 74.38 degrees
Atoms (fractional coordinates):
Cu: 0.0000 0.0000 0.0000
Pd: 0.8015 0.9219 0.4751
Pd: 0.1985 0.0781 0.5249
Pd: 0.0335 0.6212 0.3117
Pd: 0.9665 0.3788 0.6883
Pd: 0.3414 0.5452 0.7720
Pd: 0.5000 0.0000 0.0000
Pd: 0.6586 0.4548 0.2280
Pt: 0.5797 0.2293 0.6112
Pt: 0.4203 0.7707 0.3888
Pt: 0.7249 0.6921 0.8580
Pt: 0.2751 0.3079 0.1420

Results
total magnetization = 0.00 μB/cell
mass density = 13.3 Mg/m³
E above lowest polymorph = 251 meV per atom
total DFT energy (no corrections) = -5.1663 eV/atom
calculated formation energy = 218 meV per atom

=====

CuPd4Pt7 after structural relaxation. Source: Alexandria via LeMat-Bulk, functional GGA-PBE.

Cell lengths 2.7827, 2.7827, 27.4533 Å; angles 90.00, 90.00, 120.00 degrees
Atoms (fractional coordinates):
Cu: 0.0000 0.0000 0.5000
Pd: 0.3333 0.6667 0.9158
Pd: 0.6667 0.3333 0.0842
Pd: 0.3333 0.6667 0.6625
Pd: 0.6667 0.3333 0.3375
Pt: 0.0000 0.0000 0.0000
Pt: 0.3333 0.6667 0.4227
Pt: 0.6667 0.3333 0.5773
Pt: 0.3333 0.6667 0.1681
Pt: 0.6667 0.3333 0.8319
Pt: 0.0000 0.0000 0.7466
Pt: 0.0000 0.0000 0.2534

Results
total magnetization = 0.00 μB/cell
mass density = 16.7 Mg/m³
total DFT energy (no corrections) = -5.6457 eV/atom
calculated formation energy = -50 meV per atom

=====

Cu5PdPt5 after structural relaxation. Source: Alexandria via LeMat-Bulk, functional GGA-PBE.

Cell lengths 5.1551, 4.8503, 6.6061 Å; angles 83.28, 79.38, 99.93 degrees
Atoms (fractional coordinates):
Cu: 0.2248 0.5046 0.0672
Cu: 0.2617 0.7956 0.7121
Cu: 0.5000 0.0000 0.0000
Cu: 0.7383 0.2044 0.2879
Cu: 0.7752 0.4954 0.9328
Pd: 0.0000 0.0000 0.0000
Pt: 0.2262 0.0751 0.3505
Pt: 0.4389 0.3353 0.6894
Pt: 0.0000 0.5000 0.5000
Pt: 0.5611 0.6647 0.3106
Pt: 0.7738 0.9249 0.6495

Results
total magnetization = 0.00 μB/cell
mass density = 14.7 Mg/m³
total DFT energy (no corrections) = -5.1036 eV/atom
calculated formation energy = -24 meV per atom

=====

CuPd2Pt5 after structural relaxation. Source: Alexandria via LeMat-Bulk, functional GGA-PBE.

Cell lengths 3.9134, 3.9134, 8.4072 Å; angles 103.46, 103.46, 90.00 degrees
Atoms (fractional coordinates):
Cu: 0.0000 0.0000 0.0000
Pd: 0.7473 0.7473 0.4946
Pd: 0.2527 0.2527 0.5054
Pt: 0.5000 0.5000 0.0000
Pt: 0.3785 0.8785 0.7570
Pt: 0.8785 0.3785 0.7570
Pt: 0.6215 0.1215 0.2430
Pt: 0.1215 0.6215 0.2430

Results
total magnetization = 0.00 μB/cell
mass density = 17.1 Mg/m³
E above lowest polymorph = 0 meV per atom
total DFT energy (no corrections) = -5.6705 eV/atom
calculated formation energy = -85 meV per atom

=====

Cu2PdPt9 after structural relaxation. Source: Alexandria via LeMat-Bulk, functional GGA-PBE.

Cell lengths 3.9162, 3.9162, 11.8201 Å; angles 90.00, 90.00, 90.00 degrees
Atoms (fractional coordinates):
Cu: 0.0000 0.0000 0.3357
Cu: 0.0000 0.0000 0.6643
Pd: 0.0000 0.0000 0.0000
Pt: 0.5000 0.5000 0.0000
Pt: 0.5000 0.5000 0.3363
Pt: 0.5000 0.5000 0.6637
Pt: 0.5000 0.0000 0.1723
Pt: 0.5000 0.0000 0.5000
Pt: 0.5000 0.0000 0.8277
Pt: 0.0000 0.5000 0.1723
Pt: 0.0000 0.5000 0.5000
Pt: 0.0000 0.5000 0.8277

Results
total magnetization = 0.00 μB/cell
mass density = 18.2 Mg/m³
total DFT energy (no corrections) = -5.7403 eV/atom
calculated formation energy = -94 meV per atom

=====

Cu4PdPt after structural relaxation. Source: Alexandria via LeMat-Bulk, functional GGA-PBE.

Cell lengths 4.8064, 4.8064, 4.8064 Å; angles 60.00, 60.00, 60.00 degrees
Atoms (fractional coordinates):
Cu: 0.6249 0.6249 0.1253
Cu: 0.6249 0.1253 0.6249
Cu: 0.6249 0.6249 0.6249
Cu: 0.1253 0.6249 0.6249
Pd: 0.0000 0.0000 0.0000
Pt: 0.2500 0.2500 0.2500

Results
total magnetization = 0.00 μB/cell
mass density = 11.8 Mg/m³
E above lowest polymorph = 59 meV per atom
total DFT energy (no corrections) = -4.6689 eV/atom
calculated formation energy = -66 meV per atom

=====

Cu2Pd5Pt3 after structural relaxation. Source: Alexandria via LeMat-Bulk, functional GGA-PBE.

Cell lengths 2.7127, 9.1517, 7.2013 Å; angles 61.10, 79.14, 81.48 degrees
Atoms (fractional coordinates):
Cu: 0.3198 0.1063 0.2540
Cu: 0.6802 0.8937 0.7460
Pd: 0.0000 0.0000 0.0000
Pd: 0.1203 0.1866 0.5729
Pd: 0.8797 0.8134 0.4271
Pd: 0.7094 0.3868 0.1945
Pd: 0.2906 0.6132 0.8055
Pt: 0.5000 0.5000 0.5000
Pt: 0.0944 0.6809 0.1303
Pt: 0.9056 0.3191 0.8697

Results
total magnetization = 0.00 μB/cell
mass density = 13.5 Mg/m³
E above lowest polymorph = 0 meV per atom
total DFT energy (no corrections) = -5.2061 eV/atom
calculated formation energy = 22 meV per atom

=====

Cu6PdPt3 after structural relaxation. Source: Alexandria via LeMat-Bulk, functional GGA-PBE.

Cell lengths 6.9790, 5.1736, 5.1736 Å; angles 55.80, 71.94, 71.94 degrees
Atoms (fractional coordinates):
Cu: 0.3169 0.0820 0.5859
Cu: 0.6831 0.4141 0.9180
Cu: 0.6831 0.9180 0.4141
Cu: 0.3169 0.5859 0.0820
Cu: 0.0776 0.6771 0.6771
Cu: 0.9224 0.3229 0.3229
Pd: 0.5000 0.5000 0.5000
Pt: 0.3068 0.0986 0.0986
Pt: 0.6932 0.9014 0.9014
Pt: 0.0000 0.0000 0.0000

Results
total magnetization = 0.00 μB/cell
mass density = 12.3 Mg/m³
E above lowest polymorph = 171 meV per atom
total DFT energy (no corrections) = -4.7482 eV/atom
calculated formation energy = 41 meV per atom